NiBi2O6 | PBE+U | relaxed

a b c (Å): 4.9142 4.9142 9.8807
angles (deg): 90.00 90.00 90.00
With the nearest neighbours (Å) after each atom.
Sites, in units of the cell vectors:
Ni 0.0000 0.0000 0.0000  6 O 2.08-2.09
Ni 0.5000 0.5000 0.5000  6 O 2.08-2.09
Bi 0.0000 0.0000 0.3328  6 O 2.14-2.16
Bi 0.0000 0.0000 0.6672  6 O 2.14-2.16
Bi 0.5000 0.5000 0.1672  6 O 2.14-2.16
Bi 0.5000 0.5000 0.8328  6 O 2.14-2.16
O 0.1899 0.1899 0.1622  1 Ni 2.08, 2 Bi 2.14-2.16
O 0.1899 0.1899 0.8378  1 Ni 2.08, 2 Bi 2.14-2.16
O 0.1995 0.1995 0.5000  1 Ni 2.09, 2 Bi 2.16
O 0.3005 0.6995 0.0000  1 Ni 2.09, 2 Bi 2.16
O 0.3101 0.6899 0.3378  1 Ni 2.08, 2 Bi 2.14-2.16
O 0.3101 0.6899 0.6622  1 Ni 2.08, 2 Bi 2.14-2.16
O 0.6899 0.3101 0.3378  1 Ni 2.08, 2 Bi 2.14-2.16
O 0.6899 0.3101 0.6622  1 Ni 2.08, 2 Bi 2.14-2.16
O 0.6995 0.3005 0.0000  1 Ni 2.09, 2 Bi 2.16
O 0.8005 0.8005 0.5000  1 Ni 2.09, 2 Bi 2.16
O 0.8101 0.8101 0.1622  1 Ni 2.08, 2 Bi 2.14-2.16
O 0.8101 0.8101 0.8378  1 Ni 2.08, 2 Bi 2.14-2.16

Properties
Its raw total energy is -5.32 eV per atom. As for the space group: P4_2/mnm.